# Ba5HgPt

An optimized crystal structure of Ba5HgPt (GGA-PBE, Alexandria via LeMat-Bulk).

```
data_Ba5HgPt
_symmetry_space_group_name_H-M 'P 1 21/m 1'
_symmetry_Int_Tables_number 11
_cell_length_a 10.646
_cell_length_b 4.736
_cell_length_c 13.674
_cell_angle_alpha 90.00
_cell_angle_beta 91.23
_cell_angle_gamma 90.00
loop_
_symmetry_equiv_pos_as_xyz
'x,y,z'
'-x,-y,-z'
'-x,y+1/2,-z'
'x,-y+1/2,z'
loop_
_atom_site_label
_atom_site_type_symbol
_atom_site_fract_x
_atom_site_fract_y
_atom_site_fract_z
Ba1 Ba 0.023 0.250 0.360
Ba2 Ba 0.132 0.750 0.931
Ba3 Ba 0.318 0.250 0.715
Ba4 Ba 0.351 0.750 0.440
Ba5 Ba 0.362 0.250 0.150
Hg1 Hg 0.088 0.750 0.181
Pt1 Pt 0.489 0.750 0.651
```

Calculated values
- Calculated volume: 689.3 Å³/cell
- ΔH_f (0 K): -0.41 eV per atom
- Theoretical density: 5.2 g/cm³
- Final energy: -37.59 eV for the cell shown

# BaHg4Pt

An optimized crystal structure of BaHg4Pt (GGA-PBE, Alexandria via LeMat-Bulk).

```
data_BaHg4Pt
_symmetry_space_group_name_H-M 'F -4 3 m'
_symmetry_Int_Tables_number 216
_symmetry_space_group_name_Hall 'F -4 2 3'
_cell_length_a 8.566
_cell_length_b 8.566
_cell_length_c 8.566
_cell_angle_alpha 90.00
_cell_angle_beta 90.00
_cell_angle_gamma 90.00
loop_
_atom_site_label
_atom_site_type_symbol
_atom_site_fract_x
_atom_site_fract_y
_atom_site_fract_z
Ba1 Ba 0.000 0.000 0.000
Hg1 Hg 0.124 0.124 0.624
Pt1 Pt 0.250 0.250 0.250
```

Calculated values
- Calculated volume: 628.6 Å³/cell
- ΔH_f (0 K): -0.11 eV per atom
- Theoretical density: 12.0 g/cm³
- Final energy: -39.36 eV for the cell shown
- Energy above the lowest structure with this stoichiometry: 0.217 eV/atom

# BaHgPt2

An optimized crystal structure of BaHgPt2 (GGA-PBE, Alexandria via LeMat-Bulk).

```
data_BaHgPt2
_symmetry_space_group_name_H-M 'I -4 m 2'
_symmetry_Int_Tables_number 119
_symmetry_space_group_name_Hall 'I -4 -2'
_cell_length_a 4.319
_cell_length_b 4.319
_cell_length_c 9.873
_cell_angle_alpha 90.00
_cell_angle_beta 90.00
_cell_angle_gamma 90.00
loop_
_atom_site_label
_atom_site_type_symbol
_atom_site_fract_x
_atom_site_fract_y
_atom_site_fract_z
Ba1 Ba 0.000 0.000 0.000
Hg1 Hg 0.000 0.500 0.750
Pt1 Pt 0.000 0.000 0.500
Pt2 Pt 0.000 0.500 0.250
```

Calculated values
- Calculated volume: 184.2 Å³/cell
- ΔH_f (0 K): -0.13 eV per atom
- Theoretical density: 13.1 g/cm³
- Final energy: -29.62 eV for the cell shown

# BaHgPt2

An optimized crystal structure of BaHgPt2 (GGA-PBE, Alexandria via LeMat-Bulk).

```
data_BaHgPt2
_symmetry_space_group_name_H-M 'I -4 2 d'
_symmetry_Int_Tables_number 122
_symmetry_space_group_name_Hall 'I -4 2bw'
_cell_length_a 5.096
_cell_length_b 5.096
_cell_length_c 18.729
_cell_angle_alpha 90.00
_cell_angle_beta 90.00
_cell_angle_gamma 90.00
loop_
_atom_site_label
_atom_site_type_symbol
_atom_site_fract_x
_atom_site_fract_y
_atom_site_fract_z
Ba1 Ba 0.000 0.000 0.000
Hg1 Hg 0.000 0.000 0.500
Pt1 Pt 0.049 0.250 0.625
```

Calculated values
- Calculated volume: 486.3 Å³/cell
- ΔH_f (0 K): -0.37 eV per atom
- Theoretical density: 9.9 g/cm³
- Final energy: -63.17 eV for the cell shown

# BaHgPt2

An optimized crystal structure of BaHgPt2 (GGA-PBE, Alexandria via LeMat-Bulk).

```
data_BaHgPt2
_symmetry_space_group_name_H-M 'C m c m'
_symmetry_Int_Tables_number 63
_symmetry_space_group_name_Hall '-C 2c 2'
_cell_length_a 4.453
_cell_length_b 13.384
_cell_length_c 7.649
_cell_angle_alpha 90.00
_cell_angle_beta 90.00
_cell_angle_gamma 90.00
loop_
_atom_site_label
_atom_site_type_symbol
_atom_site_fract_x
_atom_site_fract_y
_atom_site_fract_z
Ba1 Ba 0.000 0.089 0.250
Hg1 Hg 0.000 0.382 0.250
Pt1 Pt 0.000 0.244 0.583
```

Calculated values
- Calculated volume: 455.8 Å³/cell
- ΔH_f (0 K): -0.45 eV per atom
- Theoretical density: 10.6 g/cm³
- Final energy: -64.43 eV for the cell shown

# Ba8Hg2Pt3

An optimized crystal structure of Ba8Hg2Pt3 (GGA-PBE, Alexandria via LeMat-Bulk).

```
data_Ba8Hg2Pt3
_symmetry_space_group_name_H-M 'C 1 2/m 1'
_symmetry_Int_Tables_number 12
_cell_length_a 15.426
_cell_length_b 9.409
_cell_length_c 8.194
_cell_angle_alpha 90.00
_cell_angle_beta 90.58
_cell_angle_gamma 90.00
loop_
_symmetry_equiv_pos_as_xyz
'x,y,z'
'-x,-y,-z'
'-x,y,-z'
'x,-y,z'
'x+1/2,y+1/2,z'
'-x+1/2,-y+1/2,-z'
'-x+1/2,y+1/2,-z'
'x+1/2,-y+1/2,z'
loop_
_atom_site_label
_atom_site_type_symbol
_atom_site_fract_x
_atom_site_fract_y
_atom_site_fract_z
Ba1 Ba 0.109 0.000 0.170
Ba2 Ba 0.111 0.240 0.676
Ba3 Ba 0.118 0.500 0.141
Hg1 Hg 0.243 0.500 0.500
Pt1 Pt 0.000 0.000 0.500
Pt2 Pt 0.000 0.253 0.000
```

Calculated values
- Calculated volume: 1189.2 Å³/cell
- ΔH_f (0 K): -0.56 eV per atom
- Theoretical density: 5.8 g/cm³
- Final energy: -82.70 eV for the cell shown

# BaHgPt2

An optimized crystal structure of BaHgPt2 (GGA-PBE, Alexandria via LeMat-Bulk).

```
data_BaHgPt2
_symmetry_space_group_name_H-M 'R 3 m'
_symmetry_Int_Tables_number 160
_symmetry_space_group_name_Hall 'R 3 -2"'
_cell_length_a 4.5018
_cell_length_b 4.5018
_cell_length_c 18.4231
_cell_angle_alpha 90.00
_cell_angle_beta 90.00
_cell_angle_gamma 120.00
loop_
_atom_site_label
_atom_site_type_symbol
_atom_site_fract_x
_atom_site_fract_y
_atom_site_fract_z
Ba1 Ba 0.0000 0.0000 0.0000
Hg1 Hg 0.0000 0.0000 0.7947
Pt1 Pt 0.0000 0.0000 0.2131
Pt2 Pt 0.0000 0.0000 0.5456
```

Calculated values
- Calculated volume: 323.4 Å³/cell
- ΔH_f (0 K): -0.49 eV per atom
- Theoretical density: 11.2 g/cm³
- Final energy: -48.80 eV for the cell shown

# Ba5Hg2Pt2

An optimized crystal structure of Ba5Hg2Pt2 (GGA-PBE, Alexandria via LeMat-Bulk).

```
data_Ba5Hg2Pt2
_symmetry_space_group_name_H-M 'C m c e'
_symmetry_Int_Tables_number 64
_symmetry_space_group_name_Hall '-C 2ac 2'
_cell_length_a 17.673
_cell_length_b 8.678
_cell_length_c 8.685
_cell_angle_alpha 90.00
_cell_angle_beta 90.00
_cell_angle_gamma 90.00
loop_
_atom_site_label
_atom_site_type_symbol
_atom_site_fract_x
_atom_site_fract_y
_atom_site_fract_z
Ba1 Ba 0.000 0.000 0.000
Ba2 Ba 0.124 0.169 0.332
Hg1 Hg 0.209 0.000 0.000
Pt1 Pt 0.000 0.122 0.623
```

Calculated values
- Calculated volume: 1332.1 Å³/cell
- ΔH_f (0 K): -0.58 eV per atom
- Theoretical density: 7.4 g/cm³
- Final energy: -109.97 eV for the cell shown

# BaHgPt2

An optimized crystal structure of BaHgPt2 (GGA-PBE, Alexandria via LeMat-Bulk).

```
data_BaHgPt2
_symmetry_space_group_name_H-M 'P 4/m m m'
_symmetry_Int_Tables_number 123
_symmetry_space_group_name_Hall '-P 4 2'
_cell_length_a 4.626
_cell_length_b 4.626
_cell_length_c 4.313
_cell_angle_alpha 90.00
_cell_angle_beta 90.00
_cell_angle_gamma 90.00
loop_
_atom_site_label
_atom_site_type_symbol
_atom_site_fract_x
_atom_site_fract_y
_atom_site_fract_z
Ba1 Ba 0.000 0.000 0.000
Hg1 Hg 0.500 0.500 0.000
Pt1 Pt 0.000 0.500 0.500
```

Calculated values
- Calculated volume: 92.3 Å³/cell
- ΔH_f (0 K): -0.13 eV per atom
- Theoretical density: 13.1 g/cm³
- Final energy: -14.82 eV for the cell shown

# RbBa2HgPt

An optimized crystal structure of RbBa2HgPt (GGA-PBE, Alexandria via LeMat-Bulk).

```
data_RbBa2HgPt
_symmetry_space_group_name_H-M 'P 4/m m m'
_symmetry_Int_Tables_number 123
_symmetry_space_group_name_Hall '-P 4 2'
_cell_length_a 6.128
_cell_length_b 6.128
_cell_length_c 6.443
_cell_angle_alpha 90.00
_cell_angle_beta 90.00
_cell_angle_gamma 90.00
loop_
_atom_site_label
_atom_site_type_symbol
_atom_site_fract_x
_atom_site_fract_y
_atom_site_fract_z
Rb1 Rb 0.000 0.000 0.000
Ba1 Ba 0.000 0.500 0.500
Hg1 Hg 0.500 0.500 0.000
Pt1 Pt 0.000 0.000 0.500
```

Calculated values
- Calculated volume: 241.9 Å³/cell
- ΔH_f (0 K): -0.28 eV per atom
- Theoretical density: 5.2 g/cm³
- Final energy: -12.57 eV for the cell shown
- Energy above the lowest structure with this stoichiometry: 0.029 eV/atom

# RbBaHg2Pt

An optimized crystal structure of RbBaHg2Pt (GGA-PBE, Alexandria via LeMat-Bulk).

```
data_RbBaHg2Pt
_symmetry_space_group_name_H-M 'P 4/m m m'
_symmetry_Int_Tables_number 123
_symmetry_space_group_name_Hall '-P 4 2'
_cell_length_a 5.545
_cell_length_b 5.545
_cell_length_c 5.827
_cell_angle_alpha 90.00
_cell_angle_beta 90.00
_cell_angle_gamma 90.00
loop_
_atom_site_label
_atom_site_type_symbol
_atom_site_fract_x
_atom_site_fract_y
_atom_site_fract_z
Rb1 Rb 0.000 0.000 0.000
Ba1 Ba 0.500 0.500 0.000
Hg1 Hg 0.000 0.500 0.500
Pt1 Pt 0.500 0.500 0.500
```

Calculated values
- Calculated volume: 179.2 Å³/cell
- ΔH_f (0 K): -0.30 eV per atom
- Theoretical density: 7.6 g/cm³
- Final energy: -11.03 eV for the cell shown

# RbBa2HgPt

An optimized crystal structure of RbBa2HgPt (GGA-PBE, Alexandria via LeMat-Bulk).

```
data_RbBa2HgPt
_symmetry_space_group_name_H-M 'P 4/m m m'
_symmetry_Int_Tables_number 123
_symmetry_space_group_name_Hall '-P 4 2'
_cell_length_a 6.248
_cell_length_b 6.248
_cell_length_c 5.561
_cell_angle_alpha 90.00
_cell_angle_beta 90.00
_cell_angle_gamma 90.00
loop_
_atom_site_label
_atom_site_type_symbol
_atom_site_fract_x
_atom_site_fract_y
_atom_site_fract_z
Rb1 Rb 0.000 0.000 0.000
Ba1 Ba 0.000 0.500 0.500
Hg1 Hg 0.500 0.500 0.000
Pt1 Pt 0.500 0.500 0.500
```

Calculated values
- Calculated volume: 217.0 Å³/cell
- ΔH_f (0 K): -0.31 eV per atom
- Theoretical density: 5.8 g/cm³
- Final energy: -12.71 eV for the cell shown
- Energy above the lowest structure with this stoichiometry: 0.000 eV/atom

# RbBaHgPt

An optimized crystal structure of RbBaHgPt (GGA-PBE, Alexandria via LeMat-Bulk).

```
data_RbBaHgPt
_symmetry_space_group_name_H-M 'F -4 3 m'
_symmetry_Int_Tables_number 216
_symmetry_space_group_name_Hall 'F -4 2 3'
_cell_length_a 8.049
_cell_length_b 8.049
_cell_length_c 8.049
_cell_angle_alpha 90.00
_cell_angle_beta 90.00
_cell_angle_gamma 90.00
loop_
_atom_site_label
_atom_site_type_symbol
_atom_site_fract_x
_atom_site_fract_y
_atom_site_fract_z
Rb1 Rb 0.000 0.000 0.000
Ba1 Ba 0.000 0.000 0.500
Hg1 Hg 0.250 0.250 0.750
Pt1 Pt 0.250 0.250 0.250
```

Calculated values
- Calculated volume: 521.4 Å³/cell
- ΔH_f (0 K): -0.26 eV per atom
- Theoretical density: 7.9 g/cm³
- Final energy: -41.10 eV for the cell shown